1.
A relaxed CsCr2Ge2 crystal. Source: Alexandria, functional PBE.

Output
The total energy comes out at -5.647 eV per atom. Its crystal system is tetragonal. The spin magnetization comes out at 9.96 μB per cell. The density is 4.6 g cm⁻³.

Unit cell a=4.4637 b=4.4637 c=13.8657 alpha=90.00 beta=90.00 gamma=90.00
With the nearest neighbours (Å) after each atom.
Space group I4/mmm (No. 139)
Inequivalent atoms, fractional coordinates:
Cs 0.0000 0.0000 0.0000 x2  8 Ge 4.00, 8 Cr 4.12, 4 Cs 4.46
Cr 0.0000 0.5000 0.2500 x4  4 Ge 2.45
Ge 0.0000 0.0000 0.3233 x4  4 Cr 2.45

2.
A relaxed CsCrGe3 crystal. Source: Alexandria, functional PBE.

Output
The total energy comes out at -2.245 eV per atom. The value obtained for the energy above the most stable polymorph in this dataset is 2.473 eV/atom. Its crystal system is cubic. The spin magnetization comes out at 0.36 μB per cell. The density is 3.8 g cm⁻³.

Unit cell a=5.6063 b=5.6063 c=5.6063 alpha=90.00 beta=90.00 gamma=90.00
With the nearest neighbours (Å) after each atom.
Space group Pm-3m (No. 221)
Inequivalent atoms, fractional coordinates:
Cs 0.0000 0.0000 0.0000 x1  6 Ge 2.80
Cr 0.5000 0.5000 0.5000 x1  12 Ge 3.96
Ge 0.0000 0.0000 0.5000 x3  2 Cs 2.80

3.
A relaxed CsCrGe3 crystal. Source: Alexandria, functional PBE.

Output
The total energy comes out at -4.717 eV per atom. The value obtained for the energy above the most stable polymorph in this dataset is 0.000 eV/atom. Its crystal system is cubic. The spin magnetization comes out at 0.00 μB per cell. The density is 6.0 g cm⁻³.

Unit cell a=4.8245 b=4.8245 c=4.8245 alpha=90.00 beta=90.00 gamma=90.00
With the nearest neighbours (Å) after each atom.
Space group Pm-3m (No. 221)
Inequivalent atoms, fractional coordinates:
Cs 0.0000 0.0000 0.0000 x1  12 Ge 3.41
Cr 0.5000 0.5000 0.5000 x1  6 Ge 2.41
Ge 0.0000 0.5000 0.5000 x3  2 Cr 2.41

What is the density in the second record?
3.8 g cm⁻³